# Tm3Zn3Ni2Au (GGA-PBE, relaxed)
data_Tm3Zn3Ni2Au
_cell_length_a 7.1659
_cell_length_b 7.1659
_cell_length_c 3.7156
_cell_angle_alpha 90.00
_cell_angle_beta 90.00
_cell_angle_gamma 120.00
_symmetry_space_group_name_H-M 'P -6 2 m'
_symmetry_Int_Tables_number 189
_symmetry_space_group_name_Hall 'P -6 -2'
loop_
_atom_site_label
_atom_site_type_symbol
_atom_site_fract_x
_atom_site_fract_y
_atom_site_fract_z
Tm1 Tm 0.0000 0.4106 0.0000
Zn1 Zn 0.0000 0.7287 0.5000
Ni1 Ni 0.3333 0.6667 0.5000
Au1 Au 0.0000 0.0000 0.0000
# Formation energy from the elements (eV/atom): -0.5344
# Theoretical density (g/cm3): 10.22
# Final energy (eV/cell): -36.43